{
  "formula": "Rb2NbTeC",
  "functional": "SCAN",
  "state": "single point on PBEsol structure",
  "cell": [[5.2511, 0.0000, 0.0000], [0.0000, 6.9106, 0.0000], [0.0000, 0.0000, 6.9106]],
  "species": ["Rb", "Rb", "Nb", "C", "Te"],
  "fractional_positions": [[0.0000, 0.5000, 0.0000], [0.0000, 0.0000, 0.5000], [0.0000, 0.0000, 0.0000], [0.5000, 0.5000, 0.5000], [0.5000, 0.0000, 0.0000]],
  "formation_energy_uncorrected_ev_per_atom": 1.353
}